Entry from Alexandria via LeMat-Bulk: a relaxed HgSb2As crystal (PBE).

Values from the calculation:
* raw formation energy: 0.08 eV/atom

Cell lengths 4.5404, 4.0455, 6.0031 Å; angles 90.00, 92.78, 90.00 degrees
Last column: nearest neighbours and their distance in Å.
Fractional coordinates of all 4 atoms:
Hg: 0.0000 0.0000 0.0000  6 Sb 2.98-3.08
Sb: 0.0753 0.0000 0.4955  2 As 2.73, 1 Hg 2.98
Sb: 0.5080 0.5000 0.9695  1 As 2.72, 2 Hg 3.01
As: 0.4780 0.5000 0.5153  3 Sb 2.72-2.73

Entry from Alexandria via LeMat-Bulk: a relaxed Sc2TaNi9 crystal (PBE).

Values from the calculation:
* E_form: -0.422 eV per atom

Cell lengths 3.6932, 3.6932, 11.0957 Å; angles 90.00, 90.00, 90.00 degrees
Last column: nearest neighbours and their distance in Å.
Fractional coordinates of all 12 atoms:
Sc: 0.0000 0.0000 0.1644  12 Ni 2.60-2.68
Sc: 0.0000 0.0000 0.8356  12 Ni 2.60-2.68
Ta: 0.0000 0.0000 0.5000  12 Ni 2.57-2.61
Ni: 0.0000 0.5000 0.0000  4 Sc 2.60, 8 Ni 2.61-2.64
Ni: 0.0000 0.5000 0.3395  8 Ni 2.57-2.63, 2 Ta 2.57, 2 Sc 2.68
Ni: 0.0000 0.5000 0.6605  8 Ni 2.57-2.63, 2 Ta 2.57, 2 Sc 2.68
Ni: 0.5000 0.0000 0.0000  4 Sc 2.60, 8 Ni 2.61-2.64
Ni: 0.5000 0.0000 0.3395  8 Ni 2.57-2.63, 2 Ta 2.57, 2 Sc 2.68
Ni: 0.5000 0.0000 0.6605  8 Ni 2.57-2.63, 2 Ta 2.57, 2 Sc 2.68
Ni: 0.5000 0.5000 0.1705  4 Sc 2.61, 8 Ni 2.63-2.64
Ni: 0.5000 0.5000 0.5000  8 Ni 2.57, 4 Ta 2.61
Ni: 0.5000 0.5000 0.8295  4 Sc 2.61, 8 Ni 2.63-2.64

Entry from Alexandria via LeMat-Bulk: a relaxed Ca2ZnAu crystal (PBE).

Values from the calculation:
* E_form: -0.225 eV per atom

Cell lengths 6.6958, 6.6958, 6.6958 Å; angles 106.50, 106.50, 115.59 degrees
Last column: nearest neighbours and their distance in Å.
Fractional coordinates of all 8 atoms:
Ca: 0.1136 0.6250 0.9886  2 Au 2.91, 2 Zn 3.03
Ca: 0.3750 0.3636 0.4886  2 Au 2.91, 2 Zn 3.03
Ca: 0.6364 0.1250 0.0114  2 Au 2.91, 2 Zn 3.03
Ca: 0.8750 0.8864 0.5114  2 Au 2.91, 2 Zn 3.03
Zn: 0.2500 0.7500 0.5000  4 Ca 3.03
Zn: 0.5000 0.5000 0.0000  4 Ca 3.03
Au: 0.0000 0.0000 0.0000  4 Ca 2.91
Au: 0.7500 0.2500 0.5000  4 Ca 2.91

Entry from Alexandria via LeMat-Bulk: a relaxed CaPm4Pr7 crystal (PBE).

Values from the calculation:
* E_form: 0.211 eV per atom

Cell lengths 8.7603, 8.7603, 9.7078 Å; angles 115.60, 115.60, 41.52 degrees
Last column: nearest neighbours and their distance in Å.
Fractional coordinates of all 12 atoms:
Ca: 0.0000 0.0000 0.0000  4 Pr 3.10-3.46
Pm: 0.3295 0.3295 0.6505  5 Pr 3.25-3.48, 1 Pm 3.63
Pm: 0.4364 0.4364 0.2963  2 Pr 3.24-3.48, 2 Pm 3.52-3.63
Pm: 0.5636 0.5636 0.7037  2 Pr 3.24-3.48, 2 Pm 3.52-3.63
Pm: 0.6705 0.6705 0.3495  5 Pr 3.25-3.48, 1 Pm 3.63
Pr: 0.0899 0.0899 0.4632  3 Pr 3.33-3.71, 1 Pm 3.48
Pr: 0.2125 0.2125 0.8942  6 Pr 3.48-3.78, 3 Pm 3.67-3.85
Pr: 0.2308 0.2308 0.2663  4 Pm 3.24-3.46, 1 Ca 3.46, 2 Pr 3.48-3.61
Pr: 0.5000 0.5000 0.0000  2 Ca 3.10, 2 Pm 3.25
Pr: 0.7692 0.7692 0.7337  4 Pm 3.24-3.46, 1 Ca 3.46, 2 Pr 3.48-3.61
Pr: 0.7875 0.7875 0.1058  6 Pr 3.48-3.78, 3 Pm 3.67-3.85
Pr: 0.9101 0.9101 0.5368  3 Pr 3.33-3.71, 1 Pm 3.48

Entry from Alexandria via LeMat-Bulk: a relaxed MgAlNi6 crystal (PBE).

Values from the calculation:
* E_form: -0.252 eV per atom

Cell lengths 6.2431, 6.2431, 10.2144 Å; angles 90.00, 90.00, 109.61 degrees
Last column: nearest neighbours and their distance in Å.
Fractional coordinates of all 32 atoms:
Mg: 0.0000 0.0000 0.2488  12 Ni 2.54-2.59
Mg: 0.0000 0.0000 0.7512  12 Ni 2.54-2.59
Mg: 0.2461 0.7539 0.5000  12 Ni 2.51-2.61
Mg: 0.7539 0.2461 0.5000  12 Ni 2.51-2.61
Al: 0.2449 0.7551 0.0000  12 Ni 2.50-2.60
Al: 0.5000 0.5000 0.2490  12 Ni 2.50-2.56
Al: 0.5000 0.5000 0.7510  12 Ni 2.50-2.56
Al: 0.7551 0.2449 0.0000  12 Ni 2.50-2.60
Ni: 0.0000 0.0000 0.0000  2 Al 2.50, 2 Mg 2.54, 8 Ni 2.57
Ni: 0.0000 0.0000 0.5000  4 Mg 2.51-2.57, 8 Ni 2.59
Ni: 0.1294 0.3818 0.1223  8 Ni 2.49-2.58, 3 Al 2.53-2.54, 1 Mg 2.59
Ni: 0.1294 0.3818 0.8777  8 Ni 2.49-2.58, 3 Al 2.53-2.54, 1 Mg 2.59
Ni: 0.1324 0.3796 0.3721  1 Al 2.50, 8 Ni 2.52-2.61, 3 Mg 2.56-2.58
Ni: 0.1324 0.3796 0.6279  1 Al 2.50, 8 Ni 2.52-2.61, 3 Mg 2.56-2.58
Ni: 0.2527 0.7473 0.2450  8 Ni 2.49-2.61, 2 Al 2.50-2.52, 2 Mg 2.58-2.61
Ni: 0.2527 0.7473 0.7550  8 Ni 2.49-2.61, 2 Al 2.50-2.52, 2 Mg 2.58-2.61
Ni: 0.3796 0.1324 0.3721  1 Al 2.50, 8 Ni 2.52-2.61, 3 Mg 2.56-2.58
Ni: 0.3796 0.1324 0.6279  1 Al 2.50, 8 Ni 2.52-2.61, 3 Mg 2.56-2.58
Ni: 0.3818 0.1294 0.1223  8 Ni 2.49-2.58, 3 Al 2.53-2.54, 1 Mg 2.59
Ni: 0.3818 0.1294 0.8777  8 Ni 2.49-2.58, 3 Al 2.53-2.54, 1 Mg 2.59
Ni: 0.5000 0.5000 0.0000  8 Ni 2.51, 4 Al 2.54-2.60
Ni: 0.5000 0.5000 0.5000  8 Ni 2.53, 2 Al 2.56, 2 Mg 2.59
Ni: 0.6182 0.8706 0.1223  8 Ni 2.49-2.58, 3 Al 2.53-2.54, 1 Mg 2.59
Ni: 0.6182 0.8706 0.8777  8 Ni 2.49-2.58, 3 Al 2.53-2.54, 1 Mg 2.59
Ni: 0.6204 0.8676 0.3721  1 Al 2.50, 8 Ni 2.52-2.61, 3 Mg 2.56-2.58
Ni: 0.6204 0.8676 0.6279  1 Al 2.50, 8 Ni 2.52-2.61, 3 Mg 2.56-2.58
Ni: 0.7473 0.2527 0.2450  8 Ni 2.49-2.61, 2 Al 2.50-2.52, 2 Mg 2.58-2.61
Ni: 0.7473 0.2527 0.7550  8 Ni 2.49-2.61, 2 Al 2.50-2.52, 2 Mg 2.58-2.61
Ni: 0.8676 0.6204 0.3721  1 Al 2.50, 8 Ni 2.52-2.61, 3 Mg 2.56-2.58
Ni: 0.8676 0.6204 0.6279  1 Al 2.50, 8 Ni 2.52-2.61, 3 Mg 2.56-2.58
Ni: 0.8706 0.6182 0.1223  8 Ni 2.49-2.58, 3 Al 2.53-2.54, 1 Mg 2.59
Ni: 0.8706 0.6182 0.8777  8 Ni 2.49-2.58, 3 Al 2.53-2.54, 1 Mg 2.59

Entry from Alexandria via LeMat-Bulk: a relaxed SrNiPd3 crystal (PBE).

Values from the calculation:
* E_form: 1.377 eV per atom

Cell lengths 5.1313, 5.1313, 5.1313 Å; angles 90.00, 90.00, 90.00 degrees
Last column: nearest neighbours and their distance in Å.
Fractional coordinates of all 5 atoms:
Sr: 0.0000 0.0000 0.0000  6 Pd 2.57
Ni: 0.5000 0.5000 0.5000  12 Pd 3.63
Pd: 0.0000 0.0000 0.5000  2 Sr 2.57
Pd: 0.0000 0.5000 0.0000  2 Sr 2.57
Pd: 0.5000 0.0000 0.0000  2 Sr 2.57

Total magnetization (computed, μB/f.u.): 0.00 0.00 0.00 0.00 1.99 0.86
Calculated volume (computed, Å³/cell): 110.1 151.3 229.1 437.9 375.0 135.1
Density of states at the Fermi level (computed, states/eV/cell): 1.40 7.04 5.49 16.67 31.37 5.42